Entry from Alexandria: a relaxed P2IrAu crystal (GGA-PBE).

Space group = I-42d (122)
Energy relative to the lowest polymorph listed for this composition = 138 meV/atom
Fermi-level density of states = 3.4 states/eV per cell

a b c (Å): 6.6458 6.6458 6.6458
angles (deg): 131.58 131.58 70.89
Atoms (fractional coordinates):
1 P 0.0940 0.6250 0.9690
2 P 0.3750 0.3440 0.4690
3 P 0.6560 0.1250 0.0310
4 P 0.8750 0.9060 0.5310
5 Ir 0.0000 0.0000 0.0000
6 Ir 0.7500 0.2500 0.5000
7 Au 0.2500 0.7500 0.5000
8 Au 0.5000 0.5000 0.0000

***

Entry from Alexandria: a relaxed Sr2ScTe crystal (GGA-PBE).

Formation energy without anion corrections = -525 meV/atom
Space group = Amm2 (38)
Fermi-level density of states = 4.6 states/eV per cell

a b c (Å): 4.6097 7.0070 7.0070
angles (deg): 40.38 90.00 90.00
Atoms (fractional coordinates):
1 Sr 0.0000 0.0000 0.0000
2 Sr 0.5000 0.2994 0.2994
3 Sc 0.5000 0.5811 0.5811
4 Te 0.0000 0.7184 0.7184

***

Entry from Alexandria: a relaxed Y2Tl2Sn crystal (GGA-PBE).

Space group = P4/mbm (127)
Energy relative to the lowest polymorph listed for this composition = 75 meV/atom
Fermi-level density of states = 8.3 states/eV per cell

a b c (Å): 8.0020 8.0020 4.6518
angles (deg): 90.00 90.00 90.00
Atoms (fractional coordinates):
1 Y 0.1576 0.3424 0.0000
2 Y 0.3424 0.8424 0.0000
3 Y 0.6576 0.1576 0.0000
4 Y 0.8424 0.6576 0.0000
5 Tl 0.1480 0.6480 0.5000
6 Tl 0.3520 0.1480 0.5000
7 Tl 0.6480 0.8520 0.5000
8 Tl 0.8520 0.3520 0.5000
9 Sn 0.0000 0.0000 0.0000
10 Sn 0.5000 0.5000 0.0000

***

Entry from Alexandria: a relaxed LiTlNi crystal (GGA-PBE).

Space group = F-43m (216)
Energy relative to the lowest polymorph listed for this composition = 203 meV/atom
Fermi-level density of states = 1.5 states/eV per cell

a b c (Å): 4.3472 4.3472 4.3472
angles (deg): 60.00 60.00 60.00
Atoms (fractional coordinates):
1 Li 0.0000 0.0000 0.0000
2 Tl 0.2500 0.2500 0.2500
3 Ni 0.5000 0.5000 0.5000